Here is CaPrHg after structural relaxation from Alexandria. Energies are from PBE-GGA.

Cell and atoms, written as extended XYZ:
```
3
Lattice="-1.870 1.870 6.849 1.870 -1.870 6.849 1.870 1.870 -6.849" Properties=species:S:1:pos:R:3 pbc="T T T"
Ca 0.000 0.000 0.000
Pr 0.000 0.000 3.883
Hg 0.000 0.000 8.752
```

The total magnetic moment is 0.000 Bohr magnetons per cell. Its space-group type is I4mm (107). The final energy is -8.04 eV per formula unit.

=====

Here is CaPr2Hg6 after structural relaxation from Alexandria. Energies are from PBE-GGA.

Cell and atoms, written as extended XYZ:
```
9
Lattice="8.753 0.000 0.000 -4.377 7.581 0.000 0.000 0.000 3.541" Properties=species:S:1:pos:R:3 pbc="T T T"
Ca 0.000 0.000 0.000
Pr 0.000 5.054 0.000
Pr 4.377 2.527 0.000
Hg -1.450 2.511 1.771
Hg -2.927 5.070 1.771
Hg 2.899 0.000 1.771
Hg 1.450 2.511 1.771
Hg 5.854 0.000 1.771
Hg 2.927 5.070 1.771
```

The total magnetic moment is 0.149 Bohr magnetons per cell. Its space-group type is P6/mmm (191). The final energy is -17.34 eV per formula unit.

=====

Here is Ca4Pr3Hg4 after structural relaxation from Alexandria. Energies are from PBE-GGA.

Cell and atoms, written as extended XYZ:
```
11
Lattice="-1.893 4.899 9.371 1.893 -4.899 9.371 1.893 4.899 -9.371" Properties=species:S:1:pos:R:3 pbc="T T T"
Ca 1.893 -3.095 6.277
Ca 0.000 1.803 3.094
Ca 1.893 3.095 6.277
Ca 0.000 7.994 3.094
Pr 1.893 0.000 0.000
Pr 0.000 0.000 7.600
Pr 0.000 0.000 11.142
Hg 1.893 0.000 4.972
Hg 0.000 2.728 0.000
Hg 0.000 7.070 0.000
Hg 0.000 4.899 4.399
```

The total magnetic moment is 0.068 Bohr magnetons per cell. Its space-group type is Immm (71). The final energy is -27.51 eV per formula unit.